Record 1
DFT (PBE) results for a geometry-optimized NaErZnIn structure.

Computed properties:
V (A^3/atom): 23.66
Electronic total energy (eV/f.u.): -10.53
Total magnetization (Bohr magnetons per cell): 0.0
ΔE_f (eV/atom): -0.158

a = 5.1153 Å, b = 5.1153 Å, c = 5.1153 Å
α = 60.00°, β = 60.00°, γ = 60.00°
Atoms (fractional coordinates):
Er 0.2500 0.2500 0.2500
Zn 0.0000 0.0000 0.0000
In 0.5000 0.5000 0.5000
Na 0.7500 0.7500 0.7500


Record 2
DFT (PBE) results for a geometry-optimized CsTlP2O8 structure.

Computed properties:
E_form (uncorrected) (kcal/mol of atoms): -36.8
V (A^3/atom): 18.01
Electronic total energy (eV/f.u.): -72.84
Total magnetization (Bohr magnetons per cell): 2.0

a = 5.2505 Å, b = 5.2505 Å, c = 9.0542 Å
α = 90.00°, β = 90.00°, γ = 120.00°
Atoms (fractional coordinates):
O 0.6314 0.7012 0.6525
P 0.3333 0.6667 0.7022
Cs 0.0000 0.0000 0.0000
Tl 0.0000 0.0000 0.5000
O 0.6667 0.3333 0.1268
O 0.3333 0.6667 0.8732
O 0.0699 0.3686 0.6525
O 0.2988 0.9301 0.6525
O 0.9301 0.6314 0.3475
O 0.7012 0.0699 0.3475
O 0.3686 0.2988 0.3475
P 0.6667 0.3333 0.2978


Record 3
DFT (PBE) results for a geometry-optimized CsTl6Hg6 structure.

Computed properties:
V (A^3/atom): 32.28
Electronic total energy (eV/f.u.): -17.30
Total magnetization (Bohr magnetons per cell): 0.0
ΔE_f (eV/atom): -0.034

a = 6.9765 Å, b = 8.5103 Å, c = 8.5103 Å
α = 77.32°, β = 65.80°, γ = 65.80°
Atoms (fractional coordinates):
Tl 0.0000 0.0000 0.5000
Hg 0.0000 0.3554 0.6446
Tl 0.5000 0.7792 0.2208
Tl 0.5000 0.2208 0.7792
Tl 0.5000 0.0000 0.5000
Tl 0.0000 0.5000 0.0000
Hg 0.2853 0.2147 0.2147
Cs 0.0000 0.0000 0.0000
Tl 0.5000 0.5000 0.0000
Hg 0.0000 0.6446 0.3554
Hg 0.7147 0.7853 0.7853
Hg 0.3579 0.6421 0.6421
Hg 0.6421 0.3579 0.3579


Record 4
DFT (PBE) results for a geometry-optimized AgSnIO6 structure.

Computed properties:
E_form (uncorrected) (kcal/mol of atoms): -14.8
V (A^3/atom): 14.42
Electronic total energy (eV/f.u.): -43.94
Total magnetization (Bohr magnetons per cell): 0.0

a = 5.3734 Å, b = 5.3734 Å, c = 10.3788 Å
α = 90.00°, β = 90.00°, γ = 120.00°
Atoms (fractional coordinates):
O 0.3860 0.0247 0.1439
Sn 0.6667 0.3333 0.7500
O 0.9753 0.6140 0.3561
O 0.3614 0.3860 0.8561
Sn 0.3333 0.6667 0.2500
O 0.6386 0.0247 0.3561
O 0.6386 0.6140 0.1439
O 0.0247 0.6386 0.8561
I 0.6667 0.3333 0.2500
O 0.3860 0.3614 0.3561
I 0.3333 0.6667 0.7500
O 0.6140 0.6386 0.6439
O 0.6140 0.9753 0.8561
O 0.9753 0.3614 0.1439
O 0.0247 0.3860 0.6439
O 0.3614 0.9753 0.6439
Ag 0.0000 0.0000 0.5000
Ag 0.0000 0.0000 0.0000


Record 5
DFT (PBE) results for a geometry-optimized RbTlSi3 structure.

Computed properties:
E_form (uncorrected) (kcal/mol of atoms): 25.2
V (A^3/atom): 32.52
Electronic total energy (eV/f.u.): -14.13
Total magnetization (Bohr magnetons per cell): 0.0
Distance to the lowest polymorph of the same formula (meV/atom): 0

a = 5.4583 Å, b = 5.4583 Å, c = 5.4583 Å
α = 90.00°, β = 90.00°, γ = 90.00°
Atoms (fractional coordinates):
Si 0.5000 0.0000 0.0000
Si 0.0000 0.0000 0.5000
Tl 0.0000 0.0000 0.0000
Rb 0.5000 0.5000 0.5000
Si 0.0000 0.5000 0.0000


Record 6
DFT (PBE) results for a geometry-optimized SrTlNiSn2 structure.

Computed properties:
V (A^3/atom): 27.31
Electronic total energy (eV/f.u.): -18.74
Total magnetization (Bohr magnetons per cell): 0.0
ΔE_f (eV/atom): -0.181
Distance to the lowest polymorph of the same formula (meV/atom): 25

a = 5.1045 Å, b = 5.2414 Å, c = 5.1045 Å
α = 90.00°, β = 90.00°, γ = 90.00°
Atoms (fractional coordinates):
Sr 0.5000 0.5000 0.5000
Sn 0.0000 0.0000 0.5000
Sn 0.5000 0.0000 0.0000
Ni 0.0000 0.0000 0.0000
Tl 0.0000 0.5000 0.0000


Record 7
DFT (PBE) results for a geometry-optimized ScSb2Mo structure.

Computed properties:
E_form (uncorrected) (kcal/mol of atoms): -3.9
V (A^3/atom): 21.35
Electronic total energy (eV/f.u.): -26.08
Total magnetization (Bohr magnetons per cell): 0.0
Distance to the lowest polymorph of the same formula (meV/atom): 44

a = 5.5017 Å, b = 5.5017 Å, c = 4.6795 Å
α = 81.44°, β = 81.44°, γ = 37.63°
Atoms (fractional coordinates):
Sb 0.7391 0.7391 0.6743
Sc 0.4709 0.4709 0.5870
Mo 0.2877 0.2877 0.1630
Sb 0.0023 0.0023 0.0756


Record 8
DFT (PBE) results for a geometry-optimized K2ZnCuF6 structure.

Computed properties:
E_form (uncorrected) (kcal/mol of atoms): -53.7
V (A^3/atom): 13.81
Electronic total energy (eV/f.u.): -42.10
Total magnetization (Bohr magnetons per cell): 1.0

a = 4.1113 Å, b = 4.1113 Å, c = 8.1679 Å
α = 90.00°, β = 90.00°, γ = 90.00°
Atoms (fractional coordinates):
F 0.5000 0.0000 0.5000
F 0.5000 0.0000 0.0000
Cu 0.5000 0.5000 0.0000
K 0.0000 0.0000 0.7547
F 0.5000 0.5000 0.2472
K 0.0000 0.0000 0.2453
F 0.5000 0.5000 0.7528
Zn 0.5000 0.5000 0.5000
F 0.0000 0.5000 0.0000
F 0.0000 0.5000 0.5000


Record 9
DFT (PBE) results for a geometry-optimized Pr5Y12Er2 structure.

Computed properties:
V (A^3/atom): 34.12
Electronic total energy (eV/f.u.): -106.67
Total magnetization (Bohr magnetons per cell): 0.0
ΔE_f (eV/atom): 0.206
Distance to the lowest polymorph of the same formula (meV/atom): 99

a = 9.1993 Å, b = 10.0682 Å, c = 8.7455 Å
α = 67.16°, β = 90.00°, γ = 117.18°
Atoms (fractional coordinates):
Pr 0.0000 0.0000 0.5000
Y 0.5609 0.1217 0.2810
Y 0.9603 0.2899 0.0911
Y 0.5959 0.7462 0.4554
Y 0.6704 0.7101 0.9089
Y 0.8496 0.2538 0.5446
Y 0.1504 0.7462 0.4554
Y 0.0397 0.7101 0.9089
Y 0.4041 0.2538 0.5446
Pr 0.2885 0.5769 0.2237
Er 0.3279 0.0000 0.0000
Y 0.3296 0.2899 0.0911
Y 0.0454 0.0908 0.8186
Er 0.6721 0.0000 0.0000
Pr 0.2367 0.4733 0.7052
Pr 0.7633 0.5267 0.2948
Y 0.9546 0.9092 0.1814
Y 0.4391 0.8783 0.7190
Pr 0.7115 0.4231 0.7763


Record 10
DFT (PBE) results for a geometry-optimized Ce3Al2Os4 structure.

Computed properties:
V (A^3/atom): 20.84
Electronic total energy (eV/f.u.): -72.59
Total magnetization (Bohr magnetons per cell): 0.1
ΔE_f (eV/atom): -0.265

a = 4.3801 Å, b = 5.6407 Å, c = 8.2588 Å
α = 93.74°, β = 90.00°, γ = 112.85°
Atoms (fractional coordinates):
Al 0.6616 0.3232 0.7681
Ce 0.0000 0.0000 0.0000
Ce 0.6331 0.2662 0.3712
Os 0.2458 0.4917 0.9180
Os 0.9226 0.8453 0.3712
Al 0.3384 0.6768 0.2319
Ce 0.3669 0.7338 0.6288
Os 0.7542 0.5083 0.0820
Os 0.0774 0.1547 0.6288


Record 11
DFT (PBE) results for a geometry-optimized CaYIn2 structure.

Computed properties:
V (A^3/atom): 30.21
Electronic total energy (eV/f.u.): -14.27
Total magnetization (Bohr magnetons per cell): 0.6
ΔE_f (eV/atom): -0.082

a = 11.1462 Å, b = 11.1462 Å, c = 11.1462 Å
α = 18.43°, β = 18.43°, γ = 18.43°
Atoms (fractional coordinates):
In 0.2532 0.2532 0.2532
In 0.9957 0.9957 0.9957
Ca 0.7455 0.7455 0.7455
Y 0.5055 0.5055 0.5055


Record 12
DFT (PBE) results for a geometry-optimized NbHgSe2N structure.

Computed properties:
E_form (uncorrected) (kcal/mol of atoms): 0.8
V (A^3/atom): 21.63
Electronic total energy (eV/f.u.): -25.50
Total magnetization (Bohr magnetons per cell): 0.0
Distance to the lowest polymorph of the same formula (meV/atom): 0

a = 5.2447 Å, b = 5.2447 Å, c = 3.9314 Å
α = 90.00°, β = 90.00°, γ = 90.00°
Atoms (fractional coordinates):
N 0.0000 0.0000 0.5000
Se 0.0000 0.5000 0.0000
Nb 0.0000 0.0000 0.0000
Hg 0.5000 0.5000 0.5000
Se 0.5000 0.0000 0.0000